(1)
# Sc2In2Hg, optimized geometry, DFT PBE-GGA
# Magnetic moment   0.00 μB/f.u.
# Final energy   -3.8899 eV/atom
# Energy of formation   -0.20 eV per atom
# Volume   247.9 Å³/cell
# ΔE to the lowest computed polymorph   0.1055 eV per atom
data_Sc2In2Hg
_space_group_name_H-M_alt 'P 4/m b m'
_space_group_IT_number 127
_space_group_name_Hall '-P 4 2ab'
_cell_length_a 8.262
_cell_length_b 8.262
_cell_length_c 3.632
_cell_angle_alpha 90.00
_cell_angle_beta 90.00
_cell_angle_gamma 90.00
loop_
_atom_site_label
_atom_site_type_symbol
_atom_site_fract_x
_atom_site_fract_y
_atom_site_fract_z
_atom_site_occupancy
Sc1 Sc 0.174 0.326 0.000 1
In1 In 0.128 0.628 0.500 1
Hg1 Hg 0.000 0.000 0.000 1

=====

(2)
# Ba6PtI3Br2, optimized geometry, DFT PBE-GGA
# Magnetic moment   2.06 μB/f.u.
# Energy relative to the elements, uncorrected   -1.34 eV per atom
# Final energy   -3.4716 eV/atom
# Volume   1026.1 Å³/cell
data_Ba6PtI3Br2
_space_group_name_H-M_alt 'C 1 2/m 1'
_space_group_IT_number 12
_cell_length_a 8.556
_cell_length_b 14.450
_cell_length_c 8.723
_cell_angle_alpha 90.00
_cell_angle_beta 107.93
_cell_angle_gamma 90.00
loop_
_space_group_symop_operation_xyz
'x,y,z'
'-x,-y,-z'
'-x,y,-z'
'x,-y,z'
'x+1/2,y+1/2,z'
'-x+1/2,-y+1/2,-z'
'-x+1/2,y+1/2,-z'
'x+1/2,-y+1/2,z'
loop_
_atom_site_label
_atom_site_type_symbol
_atom_site_fract_x
_atom_site_fract_y
_atom_site_fract_z
_atom_site_occupancy
Ba1 Ba 0.222 0.154 0.212 1
Ba2 Ba 0.225 0.000 0.773 1
Pt1 Pt 0.000 0.000 0.000 1
I1 I 0.000 0.181 0.500 1
I2 I 0.000 0.500 0.500 1
Br1 Br 0.000 0.341 0.000 1

=====

(3)
# H2RuF4, optimized geometry, DFT PBE-GGA
# Magnetic moment   2.00 μB/f.u.
# Final energy   -4.2079 eV/atom
# Volume   138.9 Å³/cell
data_H2RuF4
_space_group_name_H-M_alt 'I 4/m'
_space_group_IT_number 87
_space_group_name_Hall '-I 4'
_cell_length_a 6.053
_cell_length_b 6.053
_cell_length_c 3.791
_cell_angle_alpha 90.00
_cell_angle_beta 90.00
_cell_angle_gamma 90.00
loop_
_atom_site_label
_atom_site_type_symbol
_atom_site_fract_x
_atom_site_fract_y
_atom_site_fract_z
_atom_site_occupancy
H1 H 0.000 0.500 0.250 1
Ru1 Ru 0.000 0.000 0.000 1
F1 F 0.075 0.326 0.000 1

=====

(4)
# HgAu2N, optimized geometry, DFT PBE-GGA
# Magnetic moment   0.00 μB/f.u.
# Energy relative to the elements, uncorrected   0.62 eV per atom
# Final energy   -3.1780 eV/atom
# Volume   366.1 Å³/cell
# ΔE to the lowest computed polymorph   0.0000 eV per atom
data_HgAu2N
_space_group_name_H-M_alt 'I 41/a m d'
_space_group_IT_number 141
_cell_length_a 5.489
_cell_length_b 5.489
_cell_length_c 12.151
_cell_angle_alpha 90.00
_cell_angle_beta 90.00
_cell_angle_gamma 90.00
loop_
_space_group_symop_operation_xyz
'x,y,z'
'-x,-y,-z'
'-y+1/4,x+3/4,z+1/4'
'y+1/4,-x+3/4,-z+1/4'
'-x+1/2,-y,z+1/2'
'x+1/2,y,-z+1/2'
'y+1/4,-x+1/4,z+3/4'
'-y+1/4,x+1/4,-z+3/4'
'x,-y,-z'
'-x,y,z'
'-y+1/4,-x+1/4,-z+3/4'
'y+1/4,x+1/4,z+3/4'
'-x+1/2,y,-z+1/2'
'x+1/2,-y,z+1/2'
'y+1/4,x+3/4,-z+1/4'
'-y+1/4,-x+3/4,z+1/4'
'x+1/2,y+1/2,z+1/2'
'-x+1/2,-y+1/2,-z+1/2'
'-y+3/4,x+1/4,z+3/4'
'y+3/4,-x+1/4,-z+3/4'
'-x,-y+1/2,z'
'x,y+1/2,-z'
'y+3/4,-x+3/4,z+1/4'
'-y+3/4,x+3/4,-z+1/4'
'x+1/2,-y+1/2,-z+1/2'
'-x+1/2,y+1/2,z+1/2'
'-y+3/4,-x+3/4,-z+1/4'
'y+3/4,x+3/4,z+1/4'
'-x,y+1/2,-z'
'x,-y+1/2,z'
'y+3/4,x+1/4,-z+3/4'
'-y+3/4,-x+1/4,z+3/4'
loop_
_atom_site_label
_atom_site_type_symbol
_atom_site_fract_x
_atom_site_fract_y
_atom_site_fract_z
_atom_site_occupancy
Hg1 Hg 0.000 0.250 0.375 1
Au1 Au 0.000 0.000 0.000 1
N1 N 0.000 0.250 0.875 1

=====

(5)
# MgMnSe2, optimized geometry, DFT PBE-GGA
# Magnetic moment   4.98 μB/f.u.
# Energy relative to the elements, uncorrected   -0.47 eV per atom
# Final energy   -4.9010 eV/atom
# Volume   208.2 Å³/cell
data_MgMnSe2
_space_group_name_H-M_alt 'I m m m'
_space_group_IT_number 71
_space_group_name_Hall '-I 2 2'
_cell_length_a 3.735
_cell_length_b 7.276
_cell_length_c 7.662
_cell_angle_alpha 90.00
_cell_angle_beta 90.00
_cell_angle_gamma 90.00
loop_
_atom_site_label
_atom_site_type_symbol
_atom_site_fract_x
_atom_site_fract_y
_atom_site_fract_z
_atom_site_occupancy
Mg1 Mg 0.000 0.000 0.000 1
Mn1 Mn 0.000 0.500 0.000 1
Se1 Se 0.000 0.245 0.500 1

=====

Number 3 is which compound? H2RuF4

=====

Number 4 is which compound? HgAu2N